one:
DFT (meta-GGA SCAN) results for ReNi2Ru at its PBEsol-relaxed geometry.

abc: 3.643 3.643 4.481
angles: 113.99 113.99 90.00
Fractional positions:
1 Re 0.500 0.500 0.000
2 Ni 0.000 0.000 0.000
3 Ni 0.750 0.250 0.500
4 Ru 0.250 0.750 0.500

* V: 12.2 Å³/atom
* space group: No. 119
* density of states at the Fermi level: 3.41 states/eV/f.u.

two:
DFT (meta-GGA SCAN) results for ReNi2Ru at its PBEsol-relaxed geometry.

abc: 2.648 3.619 5.123
angles: 90.00 90.00 90.00
Fractional positions:
1 Re 0.000 0.000 0.495
2 Ni 0.000 0.000 0.014
3 Ni 0.500 0.500 0.239
4 Ru 0.500 0.500 0.752

* V: 12.3 Å³/atom
* space group: No. 25
* density of states at the Fermi level: 4.35 states/eV/f.u.

It is one that is the most stable of them.

one:
DFT (meta-GGA SCAN) results for ScReNi2 at its PBEsol-relaxed geometry.

abc: 2.724 4.434 4.434
angles: 90.00 90.00 90.00
Fractional positions:
1 Ni 0.000 0.000 0.500
2 Ni 0.000 0.500 0.000
3 Re 0.500 0.500 0.500
4 Sc 0.500 0.000 0.000

* V: 13.4 Å³/atom
* space group: No. 123
* density of states at the Fermi level: 3.57 states/eV/f.u.

two:
DFT (meta-GGA SCAN) results for ScReNi2 at its PBEsol-relaxed geometry.

abc: 2.653 4.595 4.822
angles: 112.65 90.00 90.00
Fractional positions:
1 Ni 0.000 0.000 0.000
2 Ni 0.500 0.000 0.500
3 Re 0.500 0.500 0.000
4 Sc 0.000 0.500 0.500

* V: 13.6 Å³/atom
* space group: No. 10
* density of states at the Fermi level: 3.79 states/eV/f.u.

It is one that is the most stable of them.

one:
DFT (meta-GGA SCAN) results for ReNiSe2 at its PBEsol-relaxed geometry.

abc: 2.623 5.027 5.027
angles: 105.95 90.00 90.00
Fractional positions:
1 Ni 0.000 0.500 0.500
2 Re 0.000 0.000 0.000
3 Se 0.000 0.000 0.500
4 Se 0.000 0.500 0.000

* V: 15.9 Å³/atom
* space group: No. 65
* density of states at the Fermi level: 3.49 states/eV/f.u.

two:
DFT (meta-GGA SCAN) results for ReNiSe2 at its PBEsol-relaxed geometry.

abc: 3.095 3.095 8.198
angles: 79.12 79.12 60.00
Fractional positions:
1 Re 0.500 0.500 0.500
2 Se 0.908 0.908 0.277
3 Se 0.092 0.092 0.723
4 Ni 0.000 0.000 0.000

* V: 16.6 Å³/atom
* space group: No. 166
* density of states at the Fermi level: 3.28 states/eV/f.u.

It is two that is the most stable of them.

one:
DFT (meta-GGA SCAN) results for TaReNi2 at its PBEsol-relaxed geometry.

abc: 3.181 3.181 5.228
angles: 90.00 90.00 90.00
Fractional positions:
1 Ni 0.000 0.000 0.753
2 Ni 0.000 0.000 0.247
3 Re 0.500 0.500 0.000
4 Ta 0.500 0.500 0.500

* V: 13.2 Å³/atom
* space group: No. 123
* density of states at the Fermi level: 3.27 states/eV/f.u.

two:
DFT (meta-GGA SCAN) results for TaReNi2 at its PBEsol-relaxed geometry.

abc: 3.125 3.125 5.430
angles: 90.00 90.00 90.00
Fractional positions:
1 Ni 0.000 0.000 0.014
2 Ni 0.500 0.500 0.244
3 Re 0.000 0.000 0.474
4 Ta 0.500 0.500 0.768

* V: 13.3 Å³/atom
* space group: No. 99
* density of states at the Fermi level: 2.97 states/eV/f.u.

It is two that is the most stable of them.